Entry from Alexandria: a geometry-optimized BaS2N2 structure (PBE).

The structure in POSCAR format:
```
BaS2N2
1.0
4.168 0.000 0.000
0.000 4.168 0.000
0.000 0.000 4.950
Ba N S
1 2 2
Cartesian
2.084 2.084 2.475
0.000 0.000 0.000
0.000 0.000 2.475
0.000 2.084 0.000
2.084 0.000 0.000
```

Results
VASP energy	-22.47	eV per cell
E_form (uncorrected)	0.872	eV per atom
V	86	Å³ per cell
size of the total moment	0.316	μB/atom
theoretical density	4431	kg/m3